No. 1
# Ca2CdPb2 (meta-GGA SCAN, single point on PBEsol structure)
# crystal system: tetragonal
# calculated volume: 144.32 Å³/f.u.
# size of the total moment: 0.000 μB/f.u.
# E_form: -555 meV per atom
data_Ca2CdPb2
_symmetry_space_group_name_H-M 'P 1'
_symmetry_Int_Tables_number 1
_cell_length_a 4.7693
_cell_length_b 7.7796
_cell_length_c 7.7796
_cell_angle_alpha 90.00
_cell_angle_beta 90.00
_cell_angle_gamma 90.00
loop_
_symmetry_equiv_pos_as_xyz
'x,y,z'
loop_
_atom_site_label
_atom_site_fract_x
_atom_site_fract_y
_atom_site_fract_z
Ca1 0.5000 0.1660 0.6660
Ca2 0.5000 0.6660 0.8340
Ca3 0.5000 0.3340 0.1660
Ca4 0.5000 0.8340 0.3340
Pb1 0.0000 0.3601 0.8601
Pb2 0.0000 0.1399 0.3601
Pb3 0.0000 0.8601 0.6399
Pb4 0.0000 0.6399 0.1399
Cd1 0.0000 0.0000 0.0000
Cd2 0.0000 0.5000 0.5000

No. 2
# CaCdPb2 (meta-GGA SCAN, single point on PBEsol structure)
# crystal system: tetragonal
# calculated volume: 109.32 Å³/f.u.
# size of the total moment: 0.000 μB/f.u.
# E_form: -303 meV per atom
data_CaCdPb2
_symmetry_space_group_name_H-M 'P 1'
_symmetry_Int_Tables_number 1
_cell_length_a 3.9639
_cell_length_b 3.9639
_cell_length_c 6.9575
_cell_angle_alpha 90.00
_cell_angle_beta 90.00
_cell_angle_gamma 90.00
loop_
_symmetry_equiv_pos_as_xyz
'x,y,z'
loop_
_atom_site_label
_atom_site_fract_x
_atom_site_fract_y
_atom_site_fract_z
Pb1 0.0000 0.0000 0.2729
Pb2 0.0000 0.0000 0.7271
Cd1 0.5000 0.5000 0.5000
Ca1 0.5000 0.5000 0.0000

No. 3
# CaCdPb2 (meta-GGA SCAN, single point on PBEsol structure)
# crystal system: tetragonal
# calculated volume: 108.25 Å³/f.u.
# size of the total moment: 0.000 μB/f.u.
# E_form: -345 meV per atom
data_CaCdPb2
_symmetry_space_group_name_H-M 'P 1'
_symmetry_Int_Tables_number 1
_cell_length_a 4.7152
_cell_length_b 4.7152
_cell_length_c 5.9010
_cell_angle_alpha 113.55
_cell_angle_beta 113.55
_cell_angle_gamma 90.00
loop_
_symmetry_equiv_pos_as_xyz
'x,y,z'
loop_
_atom_site_label
_atom_site_fract_x
_atom_site_fract_y
_atom_site_fract_z
Pb1 0.7500 0.2500 0.5000
Pb2 0.2500 0.7500 0.5000
Ca1 0.5000 0.5000 0.0000
Cd1 0.0000 0.0000 0.0000

No. 4
# CaCdPb2 (meta-GGA SCAN, single point on PBEsol structure)
# crystal system: tetragonal
# calculated volume: 105.85 Å³/f.u.
# size of the total moment: 0.000 μB/f.u.
# E_form: -410 meV per atom
data_CaCdPb2
_symmetry_space_group_name_H-M 'P 1'
_symmetry_Int_Tables_number 1
_cell_length_a 4.5304
_cell_length_b 4.8337
_cell_length_c 4.8337
_cell_angle_alpha 90.00
_cell_angle_beta 90.00
_cell_angle_gamma 90.00
loop_
_symmetry_equiv_pos_as_xyz
'x,y,z'
loop_
_atom_site_label
_atom_site_fract_x
_atom_site_fract_y
_atom_site_fract_z
Pb1 0.0000 0.5000 0.0000
Pb2 0.0000 0.0000 0.5000
Ca1 0.5000 0.5000 0.5000
Cd1 0.5000 0.0000 0.0000

No. 5
# CaCd3Pb (meta-GGA SCAN, single point on PBEsol structure)
# crystal system: cubic
# calculated volume: 172.90 Å³/f.u.
# size of the total moment: 0.000 μB/f.u.
# E_form: 304 meV per atom
data_CaCd3Pb
_symmetry_space_group_name_H-M 'P 1'
_symmetry_Int_Tables_number 1
_cell_length_a 5.5710
_cell_length_b 5.5710
_cell_length_c 5.5710
_cell_angle_alpha 90.00
_cell_angle_beta 90.00
_cell_angle_gamma 90.00
loop_
_symmetry_equiv_pos_as_xyz
'x,y,z'
loop_
_atom_site_label
_atom_site_fract_x
_atom_site_fract_y
_atom_site_fract_z
Ca1 0.5000 0.5000 0.5000
Cd1 0.5000 0.0000 0.0000
Cd2 0.0000 0.5000 0.0000
Cd3 0.0000 0.0000 0.5000
Pb1 0.0000 0.0000 0.0000

No. 6
# CaCdPb3 (meta-GGA SCAN, single point on PBEsol structure)
# crystal system: cubic
# calculated volume: 173.61 Å³/f.u.
# size of the total moment: 0.000 μB/f.u.
# E_form: 118 meV per atom
data_CaCdPb3
_symmetry_space_group_name_H-M 'P 1'
_symmetry_Int_Tables_number 1
_cell_length_a 5.5786
_cell_length_b 5.5786
_cell_length_c 5.5786
_cell_angle_alpha 90.00
_cell_angle_beta 90.00
_cell_angle_gamma 90.00
loop_
_symmetry_equiv_pos_as_xyz
'x,y,z'
loop_
_atom_site_label
_atom_site_fract_x
_atom_site_fract_y
_atom_site_fract_z
Pb1 0.0000 0.0000 0.5000
Pb2 0.0000 0.5000 0.0000
Pb3 0.5000 0.0000 0.0000
Cd1 0.0000 0.0000 0.0000
Ca1 0.5000 0.5000 0.5000

No. 7
# CaCd2Pd (meta-GGA SCAN, single point on PBEsol structure)
# crystal system: orthorhombic
# calculated volume: 86.55 Å³/f.u.
# size of the total moment: 0.000 μB/f.u.
# E_form: -544 meV per atom
data_CaCd2Pd
_symmetry_space_group_name_H-M 'P 1'
_symmetry_Int_Tables_number 1
_cell_length_a 5.4689
_cell_length_b 7.8855
_cell_length_c 8.0282
_cell_angle_alpha 90.00
_cell_angle_beta 90.00
_cell_angle_gamma 90.00
loop_
_symmetry_equiv_pos_as_xyz
'x,y,z'
loop_
_atom_site_label
_atom_site_fract_x
_atom_site_fract_y
_atom_site_fract_z
Cd1 0.4053 0.8267 0.9450
Cd2 0.5947 0.1733 0.0550
Cd3 0.9053 0.6733 0.4450
Cd4 0.9053 0.6733 0.0550
Cd5 0.0947 0.3267 0.9450
Cd6 0.4053 0.8267 0.5550
Cd7 0.5947 0.1733 0.4450
Cd8 0.0947 0.3267 0.5550
Pd1 0.3814 0.1201 0.7500
Pd2 0.8814 0.3799 0.2500
Pd3 0.6186 0.8799 0.2500
Pd4 0.1186 0.6201 0.7500
Ca1 0.3984 0.5341 0.2500
Ca2 0.8984 0.9659 0.7500
Ca3 0.6016 0.4659 0.7500
Ca4 0.1016 0.0341 0.2500

No. 8
# CaPmCd2 (meta-GGA SCAN, single point on PBEsol structure)
# crystal system: cubic
# calculated volume: 105.52 Å³/f.u.
# size of the total moment: 0.000 μB/f.u.
# E_form: -469 meV per atom
data_CaPmCd2
_symmetry_space_group_name_H-M 'P 1'
_symmetry_Int_Tables_number 1
_cell_length_a 5.3041
_cell_length_b 5.3041
_cell_length_c 5.3041
_cell_angle_alpha 60.00
_cell_angle_beta 60.00
_cell_angle_gamma 60.00
loop_
_symmetry_equiv_pos_as_xyz
'x,y,z'
loop_
_atom_site_label
_atom_site_fract_x
_atom_site_fract_y
_atom_site_fract_z
Pm1 0.0000 0.0000 0.0000
Cd1 0.2500 0.2500 0.2500
Cd2 0.7500 0.7500 0.7500
Ca1 0.5000 0.5000 0.5000

No. 9
# Ca2CdPt2 (meta-GGA SCAN, single point on PBEsol structure)
# crystal system: orthorhombic
# calculated volume: 108.47 Å³/f.u.
# size of the total moment: 0.000 μB/f.u.
# E_form: -953 meV per atom
data_Ca2CdPt2
_symmetry_space_group_name_H-M 'P 1'
_symmetry_Int_Tables_number 1
_cell_length_a 4.4359
_cell_length_b 5.5777
_cell_length_c 5.5777
_cell_angle_alpha 62.62
_cell_angle_beta 66.57
_cell_angle_gamma 66.57
loop_
_symmetry_equiv_pos_as_xyz
'x,y,z'
loop_
_atom_site_label
_atom_site_fract_x
_atom_site_fract_y
_atom_site_fract_z
Ca1 0.7986 0.7014 0.7014
Ca2 0.2014 0.2986 0.2986
Pt1 0.5000 0.2739 0.7261
Pt2 0.5000 0.7261 0.2739
Cd1 0.0000 0.0000 0.0000

No. 10
# CaCdPt (meta-GGA SCAN, single point on PBEsol structure)
# crystal system: orthorhombic
# calculated volume: 64.40 Å³/f.u.
# size of the total moment: 0.000 μB/f.u.
# E_form: -834 meV per atom
data_CaCdPt
_symmetry_space_group_name_H-M 'P 1'
_symmetry_Int_Tables_number 1
_cell_length_a 4.3083
_cell_length_b 7.0899
_cell_length_c 8.4330
_cell_angle_alpha 90.00
_cell_angle_beta 90.00
_cell_angle_gamma 90.00
loop_
_symmetry_equiv_pos_as_xyz
'x,y,z'
loop_
_atom_site_label
_atom_site_fract_x
_atom_site_fract_y
_atom_site_fract_z
Cd1 0.7500 0.3563 0.4387
Cd2 0.7500 0.8563 0.0613
Cd3 0.2500 0.1437 0.9387
Cd4 0.2500 0.6437 0.5613
Pt1 0.2500 0.7573 0.8715
Pt2 0.7500 0.2427 0.1285
Pt3 0.2500 0.2573 0.6285
Pt4 0.7500 0.7427 0.3715
Ca1 0.7500 0.9651 0.6778
Ca2 0.2500 0.5349 0.1778
Ca3 0.2500 0.0349 0.3222
Ca4 0.7500 0.4651 0.8222

No. 11
# Ca3CdPt (meta-GGA SCAN, single point on PBEsol structure)
# crystal system: cubic
# calculated volume: 162.22 Å³/f.u.
# size of the total moment: 0.000 μB/f.u.
# E_form: -551 meV per atom
data_Ca3CdPt
_symmetry_space_group_name_H-M 'P 1'
_symmetry_Int_Tables_number 1
_cell_length_a 5.4538
_cell_length_b 5.4538
_cell_length_c 5.4538
_cell_angle_alpha 90.00
_cell_angle_beta 90.00
_cell_angle_gamma 90.00
loop_
_symmetry_equiv_pos_as_xyz
'x,y,z'
loop_
_atom_site_label
_atom_site_fract_x
_atom_site_fract_y
_atom_site_fract_z
Ca1 0.0000 0.0000 0.5000
Ca2 0.5000 0.0000 0.0000
Ca3 0.0000 0.5000 0.0000
Cd1 0.5000 0.5000 0.5000
Pt1 0.0000 0.0000 0.0000

No. 12
# RbCaCd3 (meta-GGA SCAN, single point on PBEsol structure)
# crystal system: cubic
# calculated volume: 210.44 Å³/f.u.
# size of the total moment: 0.000 μB/f.u.
# E_form: 229 meV per atom
data_RbCaCd3
_symmetry_space_group_name_H-M 'P 1'
_symmetry_Int_Tables_number 1
_cell_length_a 5.9481
_cell_length_b 5.9481
_cell_length_c 5.9481
_cell_angle_alpha 90.00
_cell_angle_beta 90.00
_cell_angle_gamma 90.00
loop_
_symmetry_equiv_pos_as_xyz
'x,y,z'
loop_
_atom_site_label
_atom_site_fract_x
_atom_site_fract_y
_atom_site_fract_z
Ca1 0.0000 0.0000 0.0000
Cd1 0.0000 0.0000 0.5000
Cd2 0.0000 0.5000 0.0000
Cd3 0.5000 0.0000 0.0000
Rb1 0.5000 0.5000 0.5000